[1]
The following is a DFT calculation (PBE-GGA) of an optimized crystal structure of Mg3Bi2H.

## Properties
The value obtained for the magnetic moment is 0.0000 μB/atom. As for the polymorph energy (0 for the lowest one): 0.7 kJ/mol of atoms. Its space group is C2/c (15).

Lattice parameters (Å, degrees): 6.4978 6.4978 8.7882 116.85 116.85 60.30
Fractional positions:
Mg 0.1178 0.8822 0.7500
Mg 0.2961 0.4656 0.0547
Mg 0.4656 0.2961 0.5547
Mg 0.5344 0.7039 0.4453
Mg 0.7039 0.5344 0.9453
Mg 0.8822 0.1178 0.2500
Bi 0.0090 0.6588 0.3314
Bi 0.3412 0.9910 0.1686
Bi 0.6588 0.0090 0.8314
Bi 0.9910 0.3412 0.6686
H 0.4057 0.5943 0.7500
H 0.5943 0.4057 0.2500

=====

[2]
The following is a DFT calculation (PBE-GGA) of an optimized crystal structure of MgBi2H.

## Properties
The value obtained for the magnetic moment is 0.0000 μB/atom. As for the polymorph energy (0 for the lowest one): 0.0 kJ/mol of atoms. Its space group is I-42d (122).

Lattice parameters (Å, degrees): 7.4991 7.4991 6.6007 90.00 90.00 90.00
Fractional positions:
Mg 0.0000 0.0000 0.0000
Mg 0.0000 0.5000 0.2500
Mg 0.5000 0.0000 0.7500
Mg 0.5000 0.5000 0.5000
Bi 0.1499 0.7500 0.6250
Bi 0.2500 0.1499 0.3750
Bi 0.2500 0.3501 0.8750
Bi 0.3501 0.7500 0.1250
Bi 0.6499 0.2500 0.1250
Bi 0.7500 0.6499 0.8750
Bi 0.7500 0.8501 0.3750
Bi 0.8501 0.2500 0.6250
H 0.0000 0.0000 0.5000
H 0.0000 0.5000 0.7500
H 0.5000 0.0000 0.2500
H 0.5000 0.5000 0.0000

=====

[3]
The following is a DFT calculation (PBE-GGA) of an optimized crystal structure of MgBi3H.

## Properties
The value obtained for the magnetic moment is 0.0000 μB/atom. As for the polymorph energy (0 for the lowest one): 0.0 kJ/mol of atoms. Its space group is Pm-3m (221).

Lattice parameters (Å, degrees): 4.9733 4.9733 4.9733 90.00 90.00 90.00
Fractional positions:
Mg 0.0000 0.0000 0.0000
Bi 0.0000 0.5000 0.5000
Bi 0.5000 0.0000 0.5000
Bi 0.5000 0.5000 0.0000
H 0.5000 0.5000 0.5000

=====

[4]
The following is a DFT calculation (PBE-GGA) of an optimized crystal structure of Mg3Bi2H.

## Properties
The value obtained for the magnetic moment is 0.0000 μB/atom. As for the polymorph energy (0 for the lowest one): 0.0 kJ/mol of atoms. Its space group is C2/c (15).

Lattice parameters (Å, degrees): 8.4052 8.4052 6.8365 101.75 101.75 36.96
Fractional positions:
Mg 0.0770 0.9230 0.7500
Mg 0.3566 0.3805 0.1830
Mg 0.3805 0.3566 0.6830
Mg 0.6195 0.6434 0.3170
Mg 0.6434 0.6195 0.8170
Mg 0.9230 0.0770 0.2500
Bi 0.1601 0.1616 0.5808
Bi 0.1616 0.1601 0.0808
Bi 0.8384 0.8399 0.9192
Bi 0.8399 0.8384 0.4192
H 0.4512 0.5488 0.7500
H 0.5488 0.4512 0.2500

=====

[5]
The following is a DFT calculation (PBE-GGA) of an optimized crystal structure of MgBi2H.

## Properties
The value obtained for the magnetic moment is 0.0000 μB/atom. As for the polymorph energy (0 for the lowest one): 11.9 kJ/mol of atoms. Its space group is Fm-3m (225).

Lattice parameters (Å, degrees): 7.1249 7.1249 7.1249 90.00 90.00 90.00
Fractional positions:
Mg 0.0000 0.0000 0.0000
Mg 0.0000 0.5000 0.5000
Mg 0.5000 0.0000 0.5000
Mg 0.5000 0.5000 0.0000
Bi 0.2500 0.2500 0.2500
Bi 0.2500 0.2500 0.7500
Bi 0.2500 0.7500 0.2500
Bi 0.2500 0.7500 0.7500
Bi 0.7500 0.2500 0.2500
Bi 0.7500 0.2500 0.7500
Bi 0.7500 0.7500 0.2500
Bi 0.7500 0.7500 0.7500
H 0.0000 0.0000 0.5000
H 0.0000 0.5000 0.0000
H 0.5000 0.0000 0.0000
H 0.5000 0.5000 0.5000

=====

[6]
The following is a DFT calculation (PBE-GGA) of an optimized crystal structure of Mg2BiH.

## Properties
The value obtained for the magnetic moment is 0.0000 μB/atom. As for the polymorph energy (0 for the lowest one): 31.6 kJ/mol of atoms. Its space group is Fm-3m (225).

Lattice parameters (Å, degrees): 6.8815 6.8815 6.8815 90.00 90.00 90.00
Fractional positions:
Mg 0.2500 0.2500 0.2500
Mg 0.2500 0.2500 0.7500
Mg 0.2500 0.7500 0.2500
Mg 0.2500 0.7500 0.7500
Mg 0.7500 0.2500 0.2500
Mg 0.7500 0.2500 0.7500
Mg 0.7500 0.7500 0.2500
Mg 0.7500 0.7500 0.7500
Bi 0.0000 0.0000 0.0000
Bi 0.0000 0.5000 0.5000
Bi 0.5000 0.0000 0.5000
Bi 0.5000 0.5000 0.0000
H 0.0000 0.0000 0.5000
H 0.0000 0.5000 0.0000
H 0.5000 0.0000 0.0000
H 0.5000 0.5000 0.5000

=====

[7]
The following is a DFT calculation (PBE-GGA) of an optimized crystal structure of MgBiH2.

## Properties
The value obtained for the magnetic moment is 0.0000 μB/atom. As for the polymorph energy (0 for the lowest one): 0.0 kJ/mol of atoms. Its space group is I-42d (122).

Lattice parameters (Å, degrees): 5.5029 5.5029 8.7560 90.00 90.00 90.00
Fractional positions:
Mg 0.0000 0.0000 0.0000
Mg 0.0000 0.5000 0.2500
Mg 0.5000 0.0000 0.7500
Mg 0.5000 0.5000 0.5000
Bi 0.0000 0.0000 0.5000
Bi 0.0000 0.5000 0.7500
Bi 0.5000 0.0000 0.2500
Bi 0.5000 0.5000 0.0000
H 0.0633 0.2500 0.1250
H 0.2500 0.5633 0.3750
H 0.2500 0.9367 0.8750
H 0.4367 0.2500 0.6250
H 0.5633 0.7500 0.6250
H 0.7500 0.0633 0.8750
H 0.7500 0.4367 0.3750
H 0.9367 0.7500 0.1250

=====

[8]
The following is a DFT calculation (PBE-GGA) of an optimized crystal structure of Mg5Bi4H.

## Properties
The value obtained for the total energy is -27.19 eV per cell. The value obtained for the magnetic moment is 0.0000 μB/atom. Its space group is I4 (79).

Lattice parameters (Å, degrees): 7.1585 7.1585 7.1585 100.13 100.13 130.41
Fractional positions:
Mg 0.0000 0.0000 0.0000
Mg 0.1443 0.2926 0.6662
Mg 0.2926 0.6263 0.1483
Mg 0.4780 0.1443 0.8517
Mg 0.6263 0.4780 0.3338
Bi 0.1868 0.9583 0.3856
Bi 0.5728 0.8012 0.6144
Bi 0.8012 0.1868 0.2284
Bi 0.9583 0.5728 0.7716
H 0.3440 0.3440 0.0000

=====

[9]
The following is a DFT calculation (PBE-GGA) of an optimized crystal structure of Mg2BiH.

## Properties
The value obtained for the magnetic moment is 0.0000 μB/atom. As for the polymorph energy (0 for the lowest one): 10.2 kJ/mol of atoms. Its space group is P4/nmm (129).

Lattice parameters (Å, degrees): 4.4629 4.4629 7.7842 90.00 90.00 90.00
Fractional positions:
Mg 0.2500 0.2500 0.1717
Mg 0.2500 0.7500 0.5000
Mg 0.7500 0.2500 0.5000
Mg 0.7500 0.7500 0.8283
Bi 0.2500 0.2500 0.7888
Bi 0.7500 0.7500 0.2112
H 0.2500 0.2500 0.4171
H 0.7500 0.7500 0.5829

=====

[10]
The following is a DFT calculation (PBE-GGA) of an optimized crystal structure of Mg3BiH.

## Properties
The value obtained for the magnetic moment is 0.0000 μB/atom. As for the polymorph energy (0 for the lowest one): 89.0 kJ/mol of atoms. Its space group is Pm-3m (221).

Lattice parameters (Å, degrees): 5.8094 5.8094 5.8094 90.00 90.00 90.00
Fractional positions:
Mg 0.0000 0.0000 0.5000
Mg 0.0000 0.5000 0.0000
Mg 0.5000 0.0000 0.0000
Bi 0.0000 0.0000 0.0000
H 0.5000 0.5000 0.5000

=====

[11]
The following is a DFT calculation (PBE-GGA) of an optimized crystal structure of MgBi3H.

## Properties
The value obtained for the magnetic moment is 0.1759 μB/atom. As for the polymorph energy (0 for the lowest one): 58.8 kJ/mol of atoms. Its space group is Pm-3m (221).

Lattice parameters (Å, degrees): 5.5505 5.5505 5.5505 90.00 90.00 90.00
Fractional positions:
Mg 0.0000 0.0000 0.0000
Bi 0.0000 0.0000 0.5000
Bi 0.0000 0.5000 0.0000
Bi 0.5000 0.0000 0.0000
H 0.5000 0.5000 0.5000

=====

[12]
The following is a DFT calculation (PBE-GGA) of an optimized crystal structure of Mg3BiH.

## Properties
The value obtained for the magnetic moment is 0.0000 μB/atom. As for the polymorph energy (0 for the lowest one): 0.0 kJ/mol of atoms. Its space group is P1 (1).

Lattice parameters (Å, degrees): 4.9125 6.5346 6.5631 75.61 88.66 88.68
Fractional positions:
Mg 0.0000 0.0000 0.0000
Mg 0.0007 0.5693 0.4389
Mg 0.4601 0.2057 0.2093
Mg 0.4609 0.7744 0.6515
Mg 0.4709 0.2866 0.7204
Mg 0.9914 0.4881 0.9280
Bi 0.5078 0.7002 0.1411
Bi 0.9535 0.0743 0.5089
H 0.7301 0.2379 0.9719
H 0.7317 0.5373 0.6772